DFT (PBE-GGA) results for a geometry-optimized SeClF2 structure.

Its excess energy over the best structure of this formula in the dataset is 0.122 eV per atom. Its formation energy from raw total energies is -1.02 eV per atom. As for the size of the total moment: 0.0000 μB per atom. As for the total energy: -13.1 eV/cell.

The structure belongs to space group P1 (No. 1); the cell edges are 3.194, 5.821 and 5.826 Å and the angles 99.22°, 104.70° and 105.04°. The asymmetric unit holds Se at (0.000, 0.000, 0.000), Cl at (0.709, 0.694, 0.694), F at (0.003, 0.793, 0.213) and F at (0.010, 0.215, 0.794).

---

DFT (PBE-GGA) results for a geometry-optimized SeCl2F structure.

Its excess energy over the best structure of this formula in the dataset is 0.000 eV per atom. Its formation energy from raw total energies is 0.10 eV per atom. As for the size of the total moment: 0.1627 μB per atom. As for the total energy: -26.0 eV/cell.

The structure belongs to space group R-3m (No. 166, hexagonal axes); the cell edges are 3.4408, 3.4408 and 24.5296 Å and the angles 90.00°, 90.00° and 120.00°. The asymmetric unit holds Se at (0.0000, 0.0000, 0.0000), Cl at (0.0000, 0.0000, 0.0915) and F at (0.0000, 0.0000, 0.5000).

---

Question: Among the records above, which one has the lowest formation energy from raw total energies?
Answer: SeClF2

---

Question: Look up the size of the total moment of the first one.
Answer: 0.0000 μB per atom